Material: GdTmInHg
Method: DFT, PBE
State: relaxed

Properties
SG: F-43m
M_tot (μB/f.u.): 7.8
Energy (eV per atom): -5.8692

Cell: 5.2868 5.2868 5.2868 Å, 60.00 60.00 60.00°
With the nearest neighbours (Å) after each atom.
Sites, in units of the cell vectors:
Gd: 0.0000 0.0000 0.0000  4 Hg 3.24, 4 In 3.24
Tm: 0.5000 0.5000 0.5000  4 Hg 3.24, 4 In 3.24
In: 0.2500 0.2500 0.2500  4 Tm 3.24, 4 Gd 3.24
Hg: 0.7500 0.7500 0.7500  4 Tm 3.24, 4 Gd 3.24


Material: LiCe3Tm3Se8
Method: DFT, PBE
State: relaxed

Properties
Energy relative to the elements, uncorrected (kJ per mole of atoms): -168.8
SG: R-3m
M_tot (μB/f.u.): 3.0
Energy (eV per atom): -5.8161

Cell: 8.2203 8.2203 8.2203 Å, 59.28 59.28 59.28°
With the nearest neighbours (Å) after each atom.
Sites, in units of the cell vectors:
Li: 0.0000 0.0000 0.0000  6 Se 2.85
Ce: 0.0000 0.0000 0.5000  6 Se 2.95
Ce: 0.0000 0.5000 0.0000  6 Se 2.95
Ce: 0.5000 0.0000 0.0000  6 Se 2.95
Tm: 0.0000 0.5000 0.5000  6 Se 2.83
Tm: 0.5000 0.0000 0.5000  6 Se 2.83
Tm: 0.5000 0.5000 0.0000  6 Se 2.83
Se: 0.2463 0.2463 0.7440  2 Tm 2.83, 1 Li 2.85, 2 Ce 2.95
Se: 0.2463 0.7440 0.2463  2 Tm 2.83, 1 Li 2.85, 2 Ce 2.95
Se: 0.2553 0.2553 0.2553  3 Tm 2.83, 3 Ce 2.95
Se: 0.2560 0.7537 0.7537  2 Tm 2.83, 1 Li 2.85, 2 Ce 2.95
Se: 0.7440 0.2463 0.2463  2 Tm 2.83, 1 Li 2.85, 2 Ce 2.95
Se: 0.7447 0.7447 0.7447  3 Tm 2.83, 3 Ce 2.95
Se: 0.7537 0.2560 0.7537  2 Tm 2.83, 1 Li 2.85, 2 Ce 2.95
Se: 0.7537 0.7537 0.2560  2 Tm 2.83, 1 Li 2.85, 2 Ce 2.95


Material: Ca4MgCu8
Method: DFT, PBE
State: relaxed

Properties
Energy relative to the lowest polymorph listed for this composition (eV per atom): 0.062
SG: I4/m
M_tot (μB/f.u.): 0.0
Energy (eV per atom): -3.1748

Cell: 9.0500 9.0500 9.0500 Å, 91.74 91.74 159.95°
With the nearest neighbours (Å) after each atom.
Sites, in units of the cell vectors:
Ca: 0.0462 0.7783 0.8246  7 Cu 2.90-3.07, 2 Ca 3.15
Ca: 0.2217 0.0462 0.2679  7 Cu 2.90-3.07, 2 Ca 3.15
Ca: 0.7783 0.9538 0.7321  7 Cu 2.90-3.07, 2 Ca 3.15
Ca: 0.9538 0.2217 0.1754  7 Cu 2.90-3.07, 2 Ca 3.15
Mg: 0.5000 0.5000 0.0000  2 Mg 3.15, 8 Ca 3.26
Cu: 0.0997 0.5546 0.6543  7 Cu 2.57-2.87
Cu: 0.1774 0.2858 0.4632  4 Cu 2.58-2.64
Cu: 0.2858 0.8226 0.1083  4 Cu 2.58-2.64
Cu: 0.4454 0.0997 0.5451  7 Cu 2.57-2.87
Cu: 0.5546 0.9003 0.4549  7 Cu 2.57-2.87
Cu: 0.7142 0.1774 0.8917  4 Cu 2.58-2.64
Cu: 0.8226 0.7142 0.5368  4 Cu 2.58-2.64
Cu: 0.9003 0.4454 0.3457  7 Cu 2.57-2.87


Material: MgAg2Ir
Method: DFT, PBE
State: relaxed

Properties
SG: Cmm2
M_tot (μB/f.u.): 0.0
Energy (eV per atom): -3.9702

Cell: 2.8224 2.8224 9.3403 Å, 90.00 90.00 115.14°
With the nearest neighbours (Å) after each atom.
Sites, in units of the cell vectors:
Mg: 0.0000 0.0000 0.0000  2 Ir 2.60, 2 Ag 2.81, 4 Mg 2.82
Ag: 0.0000 0.0000 0.4832  8 Ag 2.82-3.03, 2 Ir 2.84
Ag: 0.5000 0.5000 0.7463  2 Mg 2.81, 8 Ag 2.82-3.03
Ir: 0.5000 0.5000 0.2263  2 Mg 2.60, 4 Ir 2.82, 2 Ag 2.84


Material: LiCdS2
Method: DFT, PBE
State: relaxed

Properties
Energy relative to the elements, uncorrected (kJ per mole of atoms): -37.1
SG: R-3m
M_tot (μB/f.u.): 0.0
Energy (eV per atom): -3.1551

Cell: 7.8559 7.8559 7.8559 Å, 28.33 28.33 28.33°
With the nearest neighbours (Å) after each atom.
Sites, in units of the cell vectors:
Li: 0.0000 0.0000 0.0000  2 S 2.28
Cd: 0.5000 0.5000 0.5000  6 S 2.67
S: 0.1008 0.1008 0.1008  1 Li 2.28
S: 0.8992 0.8992 0.8992  1 Li 2.28


Material: CsTcMo2
Method: DFT, PBE
State: relaxed

Properties
Energy relative to the lowest polymorph listed for this composition (eV per atom): 0.000
SG: Fm-3m
M_tot (μB/f.u.): 0.0
Energy (eV per atom): -6.4169

Cell: 4.6979 4.6979 4.6979 Å, 60.00 60.00 60.00°
With the nearest neighbours (Å) after each atom.
Sites, in units of the cell vectors:
Cs: 0.0000 0.0000 0.0000  8 Mo 2.88
Tc: 0.5000 0.5000 0.5000  8 Mo 2.88
Mo: 0.2500 0.2500 0.2500  4 Tc 2.88, 4 Cs 2.88
Mo: 0.7500 0.7500 0.7500  4 Tc 2.88, 4 Cs 2.88


Material: PrTi2Mo
Method: DFT, PBE
State: relaxed

Properties
Energy relative to the lowest polymorph listed for this composition (eV per atom): 0.280
SG: R-3m
M_tot (μB/f.u.): 0.0
Energy (eV per atom): -7.4816

Cell: 10.1561 10.1561 10.1561 Å, 17.73 17.73 17.73°
With the nearest neighbours (Å) after each atom.
Sites, in units of the cell vectors:
Pr: 0.0000 0.0000 0.0000  2 Ti 3.09, 6 Pr 3.13
Ti: 0.1030 0.1030 0.1030  3 Mo 2.63
Ti: 0.8970 0.8970 0.8970  3 Mo 2.63
Mo: 0.5000 0.5000 0.5000  6 Ti 2.63


Material: PrTmCd
Method: DFT, PBE
State: relaxed

Properties
Energy relative to the lowest polymorph listed for this composition (eV per atom): 0.072
SG: Amm2
M_tot (μB/f.u.): 0.0
Energy (eV per atom): -3.5064

Cell: 3.5453 14.5000 14.5000 Å, 13.80 90.00 90.00°
With the nearest neighbours (Å) after each atom.
Sites, in units of the cell vectors:
Pr: 0.0000 0.0000 0.0000  4 Cd 3.35, 4 Pr 3.48-3.55, 2 Tm 3.58
Pr: 0.0000 0.1577 0.1577  8 Cd 3.38-3.40, 4 Pr 3.48-3.55
Tm: 0.0000 0.3094 0.3094  4 Cd 3.21, 8 Tm 3.44-3.55
Tm: 0.5000 0.8921 0.8921  8 Tm 3.44-3.55, 2 Pr 3.58
Cd: 0.5000 0.5782 0.5782  8 Pr 3.35-3.38, 4 Cd 3.48-3.55
Cd: 0.5000 0.7385 0.7385  4 Tm 3.21, 4 Pr 3.40, 4 Cd 3.48-3.55